A relaxed YPu2Ga6 crystal. Source: Alexandria, functional PBE.

Values from the calculation:
- Formation energy: -2.64 eV/f.u.
- Energy: -55.925 eV per cell
- Magnetic moment: 11.0 μB/f.u.
- Symmetry: Immm

Structure (POSCAR):
```
YPu2Ga6
1.0
-2.2009 3.5306 6.4798
2.2009 -3.5306 6.4798
2.2009 3.5306 -6.4798
Y Pu Ga
1 2 6
Cartesian
0.0000 0.0000 0.0000 Y
2.2009 0.0000 4.9700 Pu
0.0000 3.5306 1.5098 Pu
2.2009 1.3661 -2.4392 Ga
2.2009 2.1195 0.0000 Ga
2.2009 1.3661 2.4392 Ga
0.0000 2.1645 4.0407 Ga
0.0000 1.4111 6.4798 Ga
0.0000 2.1645 8.9190 Ga
```